Entry 1:
VASP calculation (PBE-GGA) on a geometry-optimized Cs2TlNi2 structure.

abc: 7.108 7.108 5.847
angles: 90.00 90.00 90.00
Positions (direct):
Cs (0.182, 0.682, 0.500)
Cs (0.682, 0.818, 0.500)
Cs (0.818, 0.318, 0.500)
Cs (0.318, 0.182, 0.500)
Ni (0.384, 0.884, 0.000)
Ni (0.884, 0.616, 0.000)
Ni (0.616, 0.116, 0.000)
Ni (0.116, 0.384, 0.000)
Tl (0.000, 0.000, 0.000)
Tl (0.500, 0.500, 0.000)

Values from the calculation:
Space-group type   P4/mbm (127)
Crystal system   tetragonal
D(E_F)   1.06 states/eV per atom
Energy   -13.0 eV/f.u.
Calculated formation energy   2.7 eV/f.u.
Total moment   0.00 μB/f.u.



Entry 2:
VASP calculation (PBE-GGA) on a geometry-optimized CsTlNi3 structure.

abc: 5.025 5.025 5.025
angles: 90.00 90.00 90.00
Positions (direct):
Cs (0.500, 0.500, 0.500)
Ni (0.000, 0.500, 0.000)
Ni (0.000, 0.000, 0.500)
Ni (0.500, 0.000, 0.000)
Tl (0.000, 0.000, 0.000)

Values from the calculation:
Space-group type   Pm-3m (221)
Crystal system   cubic
Polymorph energy (0 for the lowest one)   0.000 eV per atom
D(E_F)   0.97 states/eV per atom
Energy   -15.3 eV/f.u.
Calculated formation energy   5.2 eV/f.u.
Total moment   0.00 μB/f.u.



Entry 3:
VASP calculation (PBE-GGA) on a geometry-optimized CsTlNi3 structure.

abc: 4.918 4.918 4.918
angles: 90.00 90.00 90.00
Positions (direct):
Cs (0.000, 0.000, 0.000)
Ni (0.000, 0.500, 0.000)
Ni (0.000, 0.000, 0.500)
Ni (0.500, 0.000, 0.000)
Tl (0.500, 0.500, 0.500)

Values from the calculation:
Space-group type   Pm-3m (221)
Crystal system   cubic
Polymorph energy (0 for the lowest one)   0.728 eV per atom
D(E_F)   0.23 states/eV per atom
Energy   -11.7 eV/f.u.
Calculated formation energy   8.9 eV/f.u.
Total moment   0.00 μB/f.u.



Entry 4:
VASP calculation (PBE-GGA) on a geometry-optimized CsTl2ZnNi structure.

abc: 5.280 5.280 5.094
angles: 90.00 90.00 90.00
Positions (direct):
Cs (0.500, 0.500, 0.500)
Ni (0.000, 0.000, 0.000)
Tl (0.000, 0.500, 0.000)
Tl (0.500, 0.000, 0.000)
Zn (0.000, 0.000, 0.500)

Values from the calculation:
Space-group type   P4/mmm (123)
Crystal system   tetragonal
D(E_F)   0.50 states/eV per atom
Energy   -12.2 eV/f.u.
Calculated formation energy   0.4 eV/f.u.
Total moment   0.00 μB/f.u.



Entry 5:
VASP calculation (PBE-GGA) on a geometry-optimized CsTm2Ni2 structure.

abc: 3.710 4.058 10.036
angles: 101.89 90.00 90.00
Positions (direct):
Cs (0.000, 0.000, 0.000)
Ni (0.000, 0.212, 0.426)
Ni (0.000, 0.788, 0.574)
Tm (0.500, 0.679, 0.360)
Tm (0.500, 0.321, 0.640)

Values from the calculation:
Space-group type   P2/m (10)
Crystal system   monoclinic
D(E_F)   1.22 states/eV per atom
Energy   -21.9 eV/f.u.
Calculated formation energy   -0.6 eV/f.u.
Total moment   0.00 μB/f.u.



Entry 6:
VASP calculation (PBE-GGA) on a geometry-optimized CsV3Ni structure.

abc: 4.826 4.826 4.826
angles: 90.00 90.00 90.00
Positions (direct):
Cs (0.500, 0.500, 0.500)
Ni (0.000, 0.000, 0.000)
V (0.000, 0.500, 0.000)
V (0.000, 0.000, 0.500)
V (0.500, 0.000, 0.000)

Values from the calculation:
Space-group type   Pm-3m (221)
Crystal system   cubic
Polymorph energy (0 for the lowest one)   0.000 eV per atom
D(E_F)   1.11 states/eV per atom
Energy   -27.2 eV/f.u.
Calculated formation energy   6.8 eV/f.u.
Total moment   7.95 μB/f.u.



Entry 7:
VASP calculation (PBE-GGA) on a geometry-optimized CsV3Ni structure.

abc: 4.713 4.713 4.713
angles: 90.00 90.00 90.00
Positions (direct):
Cs (0.000, 0.000, 0.000)
Ni (0.500, 0.500, 0.500)
V (0.000, 0.500, 0.000)
V (0.000, 0.000, 0.500)
V (0.500, 0.000, 0.000)

Values from the calculation:
Space-group type   Pm-3m (221)
Crystal system   cubic
Polymorph energy (0 for the lowest one)   1.467 eV per atom
D(E_F)   1.84 states/eV per atom
Energy   -19.9 eV/f.u.
Calculated formation energy   14.1 eV/f.u.
Total moment   2.10 μB/f.u.



Entry 8:
VASP calculation (PBE-GGA) on a geometry-optimized CsVNi3 structure.

abc: 4.759 4.759 4.759
angles: 90.00 90.00 90.00
Positions (direct):
Cs (0.000, 0.000, 0.000)
Ni (0.000, 0.500, 0.000)
Ni (0.000, 0.000, 0.500)
Ni (0.500, 0.000, 0.000)
V (0.500, 0.500, 0.500)

Values from the calculation:
Space-group type   Pm-3m (221)
Crystal system   cubic
D(E_F)   1.51 states/eV per atom
Energy   -16.0 eV/f.u.
Calculated formation energy   11.4 eV/f.u.
Total moment   3.63 μB/f.u.



Entry 9:
VASP calculation (PBE-GGA) on a geometry-optimized CsYVNi2 structure.

abc: 5.046 4.969 5.046
angles: 90.00 90.00 90.00
Positions (direct):
Cs (0.500, 0.500, 0.500)
Y (0.000, 0.000, 0.000)
V (0.000, 0.500, 0.000)
Ni (0.000, 0.000, 0.500)
Ni (0.500, 0.000, 0.000)

Values from the calculation:
Space-group type   P4/mmm (123)
Crystal system   tetragonal
D(E_F)   1.41 states/eV per atom
Energy   -20.7 eV/f.u.
Calculated formation energy   7.3 eV/f.u.
Total moment   3.49 μB/f.u.



Entry 10:
VASP calculation (PBE-GGA) on a geometry-optimized CsNiW3 structure.

abc: 4.746 4.746 4.746
angles: 90.00 90.00 90.00
Positions (direct):
Cs (0.500, 0.500, 0.500)
Ni (0.000, 0.000, 0.000)
W (0.000, 0.500, 0.000)
W (0.000, 0.000, 0.500)
W (0.500, 0.000, 0.000)

Values from the calculation:
Space-group type   Pm-3m (221)
Crystal system   cubic
Polymorph energy (0 for the lowest one)   0.000 eV per atom
D(E_F)   1.99 states/eV per atom
Energy   -33.5 eV/f.u.
Calculated formation energy   12.0 eV/f.u.
Total moment   2.95 μB/f.u.



Entry 11:
VASP calculation (PBE-GGA) on a geometry-optimized CsNiW3 structure.

abc: 4.863 4.863 4.863
angles: 90.00 90.00 90.00
Positions (direct):
Cs (0.000, 0.000, 0.000)
Ni (0.500, 0.500, 0.500)
W (0.000, 0.500, 0.000)
W (0.000, 0.000, 0.500)
W (0.500, 0.000, 0.000)

Values from the calculation:
Space-group type   Pm-3m (221)
Crystal system   cubic
Polymorph energy (0 for the lowest one)   1.752 eV per atom
D(E_F)   0.59 states/eV per atom
Energy   -24.7 eV/f.u.
Calculated formation energy   20.7 eV/f.u.
Total moment   0.00 μB/f.u.



Entry 12:
VASP calculation (PBE-GGA) on a geometry-optimized CsYNi3 structure.

abc: 5.156 5.156 5.156
angles: 90.00 90.00 90.00
Positions (direct):
Cs (0.500, 0.500, 0.500)
Y (0.000, 0.000, 0.000)
Ni (0.000, 0.500, 0.000)
Ni (0.000, 0.000, 0.500)
Ni (0.500, 0.000, 0.000)

Values from the calculation:
Space-group type   Pm-3m (221)
Crystal system   cubic
Polymorph energy (0 for the lowest one)   0.000 eV per atom
D(E_F)   0.44 states/eV per atom
Energy   -19.4 eV/f.u.
Calculated formation energy   5.3 eV/f.u.
Total moment   0.00 μB/f.u.



- Look up the calculated formation energy of the first one.
  2.7 eV/f.u.



- Number 8 is which compound?
  CsVNi3